(1)
Density functional theory data (PBE) for a relaxed structure of Ti4NiIr.

Unit cell a=4.217 b=4.217 c=5.956 alpha=90.00 beta=90.00 gamma=90.00
Fractional positions:
1 Ti 0.000 0.500 0.245
2 Ti 0.000 0.500 0.755
3 Ti 0.500 0.000 0.245
4 Ti 0.500 0.000 0.755
5 Ni 0.000 0.000 0.000
6 Ir 0.500 0.500 0.500

Its density of states at the Fermi level is 8.023 states/eV per cell. The formation energy from the elements is -200 meV per atom. For the magnetization, the calculation gives 0.00 μB/f.u. As for the energy relative to the lowest polymorph listed for this composition: 292 meV/atom.

***

(2)
Density functional theory data (PBE) for a relaxed structure of TiNiIr3.

Unit cell a=4.427 b=4.427 c=4.427 alpha=90.00 beta=90.00 gamma=90.00
Fractional positions:
1 Ti 0.000 0.000 0.000
2 Ni 0.500 0.500 0.500
3 Ir 0.000 0.500 0.500
4 Ir 0.500 0.000 0.500
5 Ir 0.500 0.500 0.000

Its density of states at the Fermi level is 7.679 states/eV per cell. The formation energy from the elements is 1049 meV per atom. For the magnetization, the calculation gives 1.82 μB/f.u. As for the energy relative to the lowest polymorph listed for this composition: 0 meV/atom.

***

(3)
Density functional theory data (PBE) for a relaxed structure of Ti2Ni3Ir2.

Unit cell a=6.393 b=6.393 c=6.393 alpha=109.47 beta=109.47 gamma=109.47
Fractional positions:
1 Ti 0.000 0.513 0.500
2 Ti 0.500 0.000 0.513
3 Ti 0.513 0.500 0.000
4 Ti 0.987 0.987 0.987
5 Ni 0.025 0.275 0.750
6 Ni 0.225 0.250 0.475
7 Ni 0.250 0.475 0.225
8 Ni 0.275 0.750 0.025
9 Ni 0.475 0.225 0.250
10 Ni 0.750 0.025 0.275
11 Ir 0.000 0.876 0.500
12 Ir 0.500 0.000 0.876
13 Ir 0.624 0.624 0.624
14 Ir 0.876 0.500 0.000

Its density of states at the Fermi level is 13.856 states/eV per cell. The formation energy from the elements is -150 meV per atom. For the magnetization, the calculation gives 0.00 μB/f.u.

***

(4)
Density functional theory data (PBE) for a relaxed structure of Ti2NiIr.

Unit cell a=4.340 b=4.340 c=4.340 alpha=60.00 beta=60.00 gamma=60.00
Fractional positions:
1 Ti 0.250 0.250 0.250
2 Ti 0.750 0.750 0.750
3 Ni 0.000 0.000 0.000
4 Ir 0.500 0.500 0.500

Its density of states at the Fermi level is 3.995 states/eV per cell. The formation energy from the elements is -637 meV per atom. For the magnetization, the calculation gives 0.00 μB/f.u. As for the energy relative to the lowest polymorph listed for this composition: 0 meV/atom.

***

(5)
Density functional theory data (PBE) for a relaxed structure of TiVNiIr.

Unit cell a=4.284 b=4.284 c=4.284 alpha=60.00 beta=60.00 gamma=60.00
Fractional positions:
1 Ti 0.000 0.000 0.000
2 V 0.500 0.500 0.500
3 Ni 0.250 0.250 0.250
4 Ir 0.750 0.750 0.750

Its density of states at the Fermi level is 5.343 states/eV per cell. The formation energy from the elements is -390 meV per atom. For the magnetization, the calculation gives 1.16 μB/f.u.

***

(6)
Density functional theory data (PBE) for a relaxed structure of TiZnNiIr.

Unit cell a=4.270 b=4.270 c=4.270 alpha=60.00 beta=60.00 gamma=60.00
Fractional positions:
1 Ti 0.000 0.000 0.000
2 Zn 0.500 0.500 0.500
3 Ni 0.750 0.750 0.750
4 Ir 0.250 0.250 0.250

Its density of states at the Fermi level is 3.298 states/eV per cell. The formation energy from the elements is -531 meV per atom. For the magnetization, the calculation gives 0.00 μB/f.u. As for the energy relative to the lowest polymorph listed for this composition: 27 meV/atom.

***

Which value of magnetization does entry 1 give?
0.00 μB/f.u.